(1)
A plane-wave DFT calculation with meta-GGA SCAN was carried out for Mg2ZnOs at its PBEsol-relaxed geometry.

Lattice parameters (Å, degrees): 2.7226 4.1690 5.5203 90.00 90.00 90.00
With the nearest neighbours (Å) after each atom.
Space group Pmmm (No. 47)
Symmetry-distinct sites (fractional):
Mg1 0.0000 0.0000 0.2397  4 Mg 2.65-2.87, 4 Os 2.82, 4 Zn 2.87
Zn1 0.5000 0.5000 0.5000  2 Zn 2.72, 2 Os 2.76, 8 Mg 2.87
Os1 0.5000 0.5000 0.0000  2 Os 2.72, 2 Zn 2.76, 8 Mg 2.82

Summary:
Energy: -23.782 eV per atom



(2)
A plane-wave DFT calculation with meta-GGA SCAN was carried out for MgCdNi3 at its PBEsol-relaxed geometry.

Lattice parameters (Å, degrees): 4.5818 4.5818 4.5818 90.00 90.00 90.00
With the nearest neighbours (Å) after each atom.
Space group Pm-3m (No. 221)
Symmetry-distinct sites (fractional):
Mg1 0.0000 0.0000 0.0000  12 Ni 3.24
Cd1 0.5000 0.5000 0.5000  6 Ni 2.29
Ni1 0.0000 0.5000 0.5000  2 Cd 2.29

Summary:
Energy: -15.571 eV per atom



(3)
A plane-wave DFT calculation with meta-GGA SCAN was carried out for Sr3MoC at its PBEsol-relaxed geometry.

Lattice parameters (Å, degrees): 5.3502 5.3502 5.3502 90.00 90.00 90.00
With the nearest neighbours (Å) after each atom.
Space group Pm-3m (No. 221)
Symmetry-distinct sites (fractional):
Sr1 0.0000 0.0000 0.5000  2 C 2.68
Mo1 0.5000 0.5000 0.5000  12 Sr 3.78
C1 0.0000 0.0000 0.0000  6 Sr 2.68

Summary:
Energy: -21.429 eV per atom



(4)
A plane-wave DFT calculation with meta-GGA SCAN was carried out for Cu2PAu at its PBEsol-relaxed geometry.

Lattice parameters (Å, degrees): 3.7247 3.7247 7.7838 90.00 90.00 90.00
With the nearest neighbours (Å) after each atom.
Space group I-4m2 (No. 119)
Symmetry-distinct sites (fractional):
Cu1 0.0000 0.0000 0.0000  4 P 2.63, 4 Cu 2.69, 4 Au 2.69
Cu2 0.0000 0.5000 0.2500  4 Au 2.63, 4 P 2.69, 4 Cu 2.69
P1 0.0000 0.0000 0.5000  8 Cu 2.63-2.69, 4 Au 2.69
Au1 0.0000 0.5000 0.7500  8 Cu 2.63-2.69, 4 P 2.69

Summary:
Energy: -27.322 eV per atom



(5)
A plane-wave DFT calculation with meta-GGA SCAN was carried out for ZnSbRh3 at its PBEsol-relaxed geometry.

Lattice parameters (Å, degrees): 4.7177 4.7177 4.7177 90.00 90.00 90.00
With the nearest neighbours (Å) after each atom.
Space group Pm-3m (No. 221)
Symmetry-distinct sites (fractional):
Zn1 0.0000 0.0000 0.0000  12 Rh 3.34
Sb1 0.5000 0.5000 0.5000  6 Rh 2.36
Rh1 0.0000 0.5000 0.5000  2 Sb 2.36

Summary:
Offset from the most stable computed form: 0.2157 eV per atom
Energy: -29.473 eV per atom
E_form (uncorrected): 0.945 eV per atom



(6)
A plane-wave DFT calculation with meta-GGA SCAN was carried out for AlSiP2O at its PBEsol-relaxed geometry.

Lattice parameters (Å, degrees): 4.8332 4.8332 3.3463 90.00 90.00 90.00
With the nearest neighbours (Å) after each atom.
Space group P4/mmm (No. 123)
Symmetry-distinct sites (fractional):
Al1 0.0000 0.0000 0.0000  2 O 1.67
Si1 0.5000 0.5000 0.5000  8 P 2.94
P1 0.0000 0.5000 0.0000  2 Al 2.42
O1 0.0000 0.0000 0.5000  2 Al 1.67

Summary:
Energy: -8.987 eV per atom
E_form (uncorrected): -0.027 eV per atom



(7)
A plane-wave DFT calculation with meta-GGA SCAN was carried out for Cs2TlCuF6 at its PBEsol-relaxed geometry.

Lattice parameters (Å, degrees): 8.7875 8.7875 8.7875 90.00 90.00 90.00
With the nearest neighbours (Å) after each atom.
Space group Fm-3m (No. 225)
Symmetry-distinct sites (fractional):
Cs1 0.2500 0.2500 0.2500  12 F 3.11
Tl1 0.0000 0.0000 0.0000  6 F 2.37
Cu1 0.0000 0.0000 0.5000  6 F 2.02
F1 0.0000 0.0000 0.2696  1 Cu 2.02

Summary:
Energy: -20.736 eV per atom
E_form (uncorrected): -2.294 eV per atom



(8)
A plane-wave DFT calculation with meta-GGA SCAN was carried out for BaCu2GeI at its PBEsol-relaxed geometry.

Lattice parameters (Å, degrees): 4.6898 4.6898 6.3588 90.00 90.00 90.00
With the nearest neighbours (Å) after each atom.
Space group P4/mmm (No. 123)
Symmetry-distinct sites (fractional):
Ba1 0.0000 0.0000 0.0000  2 Ge 3.18, 4 I 3.32
Cu1 0.0000 0.5000 0.5000  2 Ge 2.34
Ge1 0.0000 0.0000 0.5000  4 Cu 2.34
I1 0.5000 0.5000 0.0000  4 Ba 3.32

Summary:
Energy: -25.407 eV per atom
E_form (uncorrected): -0.251 eV per atom